No. 1
Here is HoSc2Bi after structural relaxation from Alexandria. Energies are from PBE. Values from VASP.

Cell and atoms, written as Quantum ESPRESSO input:
```
&SYSTEM
  ibrav = 0, nat = 8, ntyp = 3
/
ATOMIC_SPECIES
Ho 164.93 Ho.upf
Sc 44.96 Sc.upf
Bi 208.98 Bi.upf
ATOMIC_POSITIONS angstrom
Ho 2.217 6.674 3.325
Ho 2.217 -6.674 1.108
Sc 2.217 9.630 1.108
Sc 2.217 1.225 1.108
Sc 2.217 -1.225 3.325
Sc 2.217 -9.630 3.325
Bi 2.217 3.486 3.325
Bi 2.217 -3.486 1.108
CELL_PARAMETERS angstrom
2.217 -10.810 0.000
2.217 10.810 0.000
0.000 0.000 4.433
```

The energy of formation from the pure elements comes out at -0.451 eV/atom. For the density of states at the Fermi level, the calculation gives 11.9 states/eV/cell. For the energy above the most stable polymorph in this dataset, the calculation gives 0.0000 eV/atom.

No. 2
Here is HoSc5Bi6 after structural relaxation from Alexandria. Energies are from PBE. Values from VASP.

Cell and atoms, written as Quantum ESPRESSO input:
```
&SYSTEM
  ibrav = 0, nat = 12, ntyp = 3
/
ATOMIC_SPECIES
Ho 164.93 Ho.upf
Sc 44.96 Sc.upf
Bi 208.98 Bi.upf
ATOMIC_POSITIONS angstrom
Ho 0.000 0.000 0.000
Sc 2.478 4.355 3.512
Sc 3.723 2.170 0.000
Sc 2.478 0.000 3.512
Sc 3.723 -2.170 0.000
Sc 2.478 -4.355 3.512
Bi 1.271 2.201 1.799
Bi 0.059 0.000 5.257
Bi 1.271 -2.201 1.799
Bi 3.686 2.201 5.226
Bi 4.897 0.000 1.768
Bi 3.686 -2.201 5.226
CELL_PARAMETERS angstrom
3.723 -6.452 0.000
3.723 6.452 0.000
-2.489 0.000 7.025
```

The energy of formation from the pure elements comes out at -0.687 eV/atom. For the density of states at the Fermi level, the calculation gives 2.6 states/eV/cell.

No. 3
Here is HoSc3Bi2 after structural relaxation from Alexandria. Energies are from PBE. Values from VASP.

Cell and atoms, written as Quantum ESPRESSO input:
```
&SYSTEM
  ibrav = 0, nat = 12, ntyp = 3
/
ATOMIC_SPECIES
Ho 164.93 Ho.upf
Sc 44.96 Sc.upf
Bi 208.98 Bi.upf
ATOMIC_POSITIONS angstrom
Ho 1.559 0.000 0.977
Ho 12.661 0.000 7.394
Sc -1.224 0.000 5.647
Sc 5.117 0.000 0.866
Sc 4.571 0.000 4.277
Sc 9.650 0.000 4.094
Sc 9.104 0.000 7.505
Sc 15.445 0.000 2.724
Bi 1.898 0.000 5.981
Bi 8.095 0.000 1.443
Bi 6.125 0.000 6.928
Bi 12.322 0.000 2.390
CELL_PARAMETERS angstrom
8.878 -2.149 0.000
8.878 2.149 0.000
-3.536 0.000 8.371
```

The energy of formation from the pure elements comes out at -0.433 eV/atom. For the density of states at the Fermi level, the calculation gives 10.0 states/eV/cell.

No. 4
Here is Ho5Sc2Bi4 after structural relaxation from Alexandria. Energies are from PBE. Values from VASP.

Cell and atoms, written as Quantum ESPRESSO input:
```
&SYSTEM
  ibrav = 0, nat = 11, ntyp = 3
/
ATOMIC_SPECIES
Ho 164.93 Ho.upf
Sc 44.96 Sc.upf
Bi 208.98 Bi.upf
ATOMIC_POSITIONS angstrom
Ho 0.000 0.000 0.000
Ho 5.875 0.000 4.029
Ho 7.599 0.000 0.334
Ho 11.833 0.000 7.009
Ho 13.557 0.000 3.314
Sc 0.393 0.000 4.497
Sc 19.039 0.000 2.846
Bi 3.193 0.000 5.618
Bi 8.781 0.000 5.117
Bi 10.651 0.000 2.226
Bi 16.239 0.000 1.726
CELL_PARAMETERS angstrom
10.684 -2.129 0.000
10.684 2.129 0.000
-1.937 0.000 7.343
```

The energy of formation from the pure elements comes out at -0.412 eV/atom. For the density of states at the Fermi level, the calculation gives 7.8 states/eV/cell.

No. 5
Here is Ho3ScBi4 after structural relaxation from Alexandria. Energies are from PBE. Values from VASP.

Cell and atoms, written as Quantum ESPRESSO input:
```
&SYSTEM
  ibrav = 0, nat = 8, ntyp = 3
/
ATOMIC_SPECIES
Ho 164.93 Ho.upf
Sc 44.96 Sc.upf
Bi 208.98 Bi.upf
ATOMIC_POSITIONS angstrom
Ho 0.000 0.000 0.000
Ho 2.208 3.122 2.209
Ho 2.208 -3.122 2.209
Sc 4.416 0.000 0.000
Bi 4.416 3.067 0.000
Bi 2.285 0.000 2.209
Bi 6.547 0.000 2.209
Bi 4.416 -3.067 0.000
CELL_PARAMETERS angstrom
4.416 -6.245 0.000
4.416 6.245 0.000
0.000 0.000 4.418
```

The energy of formation from the pure elements comes out at -0.784 eV/atom. For the density of states at the Fermi level, the calculation gives 1.4 states/eV/cell.

No. 6
Here is HoSc4Bi5 after structural relaxation from Alexandria. Energies are from PBE. Values from VASP.

Cell and atoms, written as Quantum ESPRESSO input:
```
&SYSTEM
  ibrav = 0, nat = 10, ntyp = 3
/
ATOMIC_SPECIES
Ho 164.93 Ho.upf
Sc 44.96 Sc.upf
Bi 208.98 Bi.upf
ATOMIC_POSITIONS angstrom
Ho 0.000 0.000 0.000
Sc 0.000 0.000 4.362
Sc 0.000 0.000 8.607
Sc 0.000 0.000 12.912
Sc 0.000 0.000 17.157
Bi 2.152 0.000 2.265
Bi 2.152 0.000 6.478
Bi 0.000 3.051 0.000
Bi 0.000 3.051 4.282
Bi 0.000 3.051 8.495
CELL_PARAMETERS angstrom
-2.152 3.051 10.760
2.152 -3.051 10.760
2.152 3.051 -10.760
```

The energy of formation from the pure elements comes out at -0.691 eV/atom. For the density of states at the Fermi level, the calculation gives 1.9 states/eV/cell.